First-principles (PBE with a Hubbard U) data for BaCr2B2O6 after structural relaxation, as listed in Alexandria.

Properties
**DOS(E_F)**: 0.00 states/eV/cell
**Energy**: -84.6 eV per cell

a = 5.431 Å, b = 5.974 Å, c = 6.033 Å
α = 72.56°, β = 67.41°, γ = 72.01°
Space group P-1 (No. 2)
Unique sites:
Ba  0.000  0.000  0.000
Cr  0.268  0.384  0.306
B  0.270  0.471  0.788
O  0.124  0.415  0.669
O  0.330  0.300  0.983
O  0.336  0.693  0.711